No. 1
ZrSbPb2O6 PBE optimized geometry; offset from the most stable computed form = 0.0000 eV per atom
1.0
0.0978 -2.2696 -5.3864
-1.1359 -5.6803 -0.7866
-9.0698 4.5627 0.9507
O Pb Sb Zr
12 4 2 2
direct
0.8762 0.2957 0.0867
0.3729 0.3305 0.1369
0.8747 0.8346 0.1577
0.1654 0.1253 0.3423
0.6695 0.6271 0.3631
0.7043 0.1238 0.4133
0.2957 0.8762 0.5867
0.3305 0.3729 0.6369
0.8346 0.8747 0.6577
0.1253 0.1654 0.8423
0.6271 0.6695 0.8631
0.1238 0.7043 0.9133
0.3608 0.9012 0.1292
0.0988 0.6392 0.3708
0.9012 0.3608 0.6292
0.6392 0.0988 0.8708
0.0000 0.5000 0.0000
0.5000 0.0000 0.5000
0.7557 0.2443 0.2500
0.2443 0.7557 0.7500

No. 2
ScTaPb2O6 PBE optimized geometry; offset from the most stable computed form = 2.0128 eV per atom
1.0
-4.5206 -3.0819 -2.3482
3.0426 -2.2255 4.6102
-3.5991 4.6797 0.7898
O Pb Sc Ta
6 2 1 1
direct
0.5000 0.0000 0.0000
0.0000 0.5000 0.0000
0.5000 0.5000 0.0000
0.0000 0.0000 0.5000
0.0000 0.5000 0.5000
0.5000 0.5000 0.5000
0.7500 0.5000 0.2500
0.2500 0.5000 0.7500
0.0000 0.0000 0.0000
0.5000 0.0000 0.5000

No. 3
ScTaPb2O6 PBE optimized geometry; offset from the most stable computed form = 0.0000 eV per atom
1.0
-0.1909 -1.7757 7.9477
-0.6479 -7.9257 -1.7661
8.1158 -0.6969 0.0594
O Pb Sc Ta
24 8 4 4
direct
0.4956 0.7380 0.0190
0.2527 0.4835 0.0234
0.5175 0.4566 0.2379
0.9890 0.9859 0.2390
0.9559 0.4962 0.2501
0.4835 0.0234 0.2527
0.2379 0.5175 0.4566
0.5141 0.7511 0.4589
0.0234 0.2527 0.4835
0.9635 0.7375 0.4891
0.7380 0.0190 0.4956
0.2501 0.9559 0.4962
0.7511 0.4589 0.5141
0.4566 0.2379 0.5175
0.4891 0.9635 0.7375
0.0190 0.4956 0.7380
0.9929 0.9803 0.7501
0.4589 0.5141 0.7511
0.4962 0.2501 0.9559
0.7375 0.4891 0.9635
0.7501 0.9929 0.9803
0.2390 0.9890 0.9859
0.9859 0.2390 0.9890
0.9803 0.7501 0.9929
0.7735 0.7499 0.2520
0.7598 0.2659 0.2627
0.2652 0.2652 0.2652
0.2627 0.7598 0.2659
0.2520 0.7735 0.7499
0.2659 0.2627 0.7598
0.7670 0.7670 0.7670
0.7499 0.2520 0.7735
0.4994 0.9994 0.0014
0.9994 0.0014 0.4994
0.5013 0.5013 0.5013
0.0014 0.4994 0.9994
0.0007 0.0007 0.0007
0.5026 0.9971 0.4965
0.9971 0.4965 0.5026
0.4965 0.5026 0.9971